A plane-wave DFT calculation with GGA-PBE was carried out for Tb2ThAl2Ga2 after structural relaxation.

Summary:
ΔH_f (0 K) (eV/atom): -0.390

Cell lengths 4.2528, 4.2528, 33.3163 Å; angles 90.00, 90.00, 120.00 degrees
Space group R-3m (No. 166, hexagonal axes)
One atom of each set of equivalent atoms:
Tb (0.0000, 0.0000, 0.1257)
Th (0.0000, 0.0000, 0.0000)
Al (0.0000, 0.0000, 0.3945)
Ga (0.0000, 0.0000, 0.2620)

A plane-wave DFT calculation with GGA-PBE was carried out for HfZrSc2Tl after structural relaxation.

Summary:
ΔH_f (0 K) (eV/atom): 0.955

Cell lengths 5.236, 5.236, 5.409 Å; angles 90.00, 90.00, 90.00 degrees
Space group P4/mmm (No. 123)
One atom of each set of equivalent atoms:
Hf (0.000, 0.000, 0.000)
Zr (0.500, 0.500, 0.000)
Sc (0.000, 0.500, 0.500)
Tl (0.500, 0.500, 0.500)

A plane-wave DFT calculation with GGA-PBE was carried out for Li2CuTe after structural relaxation.

Cell lengths 6.595, 6.595, 6.595 Å; angles 90.00, 90.00, 90.00 degrees
Space group F-43m (No. 216)
One atom of each set of equivalent atoms:
Li (0.000, 0.000, 0.000)
Li (0.250, 0.250, 0.250)
Cu (0.250, 0.250, 0.750)
Te (0.000, 0.000, 0.500)

no.,calculated total energy (eV per atom)
1,-4.707
2,-5.752
3,-3.033